This record from Alexandria via LeMat-Bulk describes an optimized crystal structure of Mg3Ag3Rh2. The functional is PBE-GGA.

Unit cell a=3.1224 b=7.1593 c=7.1593 alpha=120.00 beta=90.00 gamma=90.00
With the nearest neighbours (Å) after each atom.
Fractional positions:
Mg  0.5000  0.5892  0.0000  4 Rh 2.67
Mg  0.5000  0.4108  0.4108  4 Rh 2.67
Mg  0.5000  0.0000  0.5892  4 Rh 2.67
Ag  0.0000  0.0000  0.2303  2 Rh 2.83, 4 Ag 2.86-3.12, 6 Mg 2.99-3.01
Rh  0.0000  0.3333  0.6667  6 Mg 2.67, 3 Ag 2.83
Ag  0.0000  0.7697  0.7697  2 Rh 2.83, 4 Ag 2.86-3.12, 6 Mg 2.99-3.01
Rh  0.0000  0.6667  0.3333  6 Mg 2.67, 3 Ag 2.83
Ag  0.0000  0.2303  0.0000  2 Rh 2.83, 4 Ag 2.86-3.12, 6 Mg 2.99-3.01

Computed properties:
* M_tot: 0.00 μB per formula unit
* formation energy: -0.234 eV per atom
* electronic total energy: -29.916 eV/f.u.



This record from Alexandria via LeMat-Bulk describes an optimized crystal structure of MgAgRh3. The functional is PBE-GGA.

Unit cell a=4.5325 b=4.5325 c=4.5325 alpha=90.00 beta=90.00 gamma=90.00
With the nearest neighbours (Å) after each atom.
Fractional positions:
Rh  0.0000  0.5000  0.0000  2 Mg 2.27
Ag  0.5000  0.5000  0.5000  12 Rh 3.20
Mg  0.0000  0.0000  0.0000  6 Rh 2.27
Rh  0.5000  0.0000  0.0000  2 Mg 2.27
Rh  0.0000  0.0000  0.5000  2 Mg 2.27

Computed properties:
* M_tot: 2.34 μB per formula unit
* formation energy: 1.115 eV per atom
* electronic total energy: -20.924 eV/f.u.
* polymorph energy (0 for the lowest one): 0.0 meV per atom



This record from Alexandria via LeMat-Bulk describes an optimized crystal structure of Mg3AgRh. The functional is PBE-GGA.

Unit cell a=4.6288 b=4.6394 c=8.5148 alpha=90.00 beta=74.23 gamma=90.00
With the nearest neighbours (Å) after each atom.
Fractional positions:
Mg  0.3889  0.2500  0.8705  2 Rh 2.71, 2 Ag 2.76
Rh  0.9750  0.2500  0.6983  8 Mg 2.71-2.84
Ag  0.4800  0.7500  0.6884  8 Mg 2.76-2.80
Mg  0.2594  0.7500  0.1295  2 Rh 2.71, 2 Ag 2.76
Mg  0.0733  0.7500  0.5018  4 Ag 2.77-2.79, 4 Rh 2.82-2.84, 2 Mg 3.05-3.10
Mg  0.7643  0.2500  0.1197  2 Rh 2.76, 2 Ag 2.80, 4 Mg 3.04-3.09
Mg  0.8840  0.7500  0.8803  2 Rh 2.76, 2 Ag 2.80, 4 Mg 3.04-3.09
Rh  0.6733  0.7500  0.3017  8 Mg 2.71-2.84
Mg  0.5751  0.2500  0.4982  4 Ag 2.77-2.79, 4 Rh 2.82-2.84, 2 Mg 3.05-3.10
Ag  0.1684  0.2500  0.3116  8 Mg 2.76-2.80

Computed properties:
* M_tot: 0.00 μB per formula unit
* formation energy: -0.320 eV per atom
* electronic total energy: -16.585 eV/f.u.
* polymorph energy (0 for the lowest one): 0.0 meV per atom